The following is a GGA-PBE calculation of a geometry-optimized TbDyPt structure, from Alexandria.

a b c (Å): 6.902 6.266 6.266
angles (deg): 144.50 90.00 90.00
Fractional positions:
Dy (0.750, 0.287, 0.713)
Tb (0.000, 0.000, 0.000)
Tb (0.500, 0.000, 0.000)
Pt (0.250, 0.385, 0.615)
Pt (0.750, 0.615, 0.385)
Dy (0.250, 0.713, 0.287)

* calculated formation energy: -0.866 eV/atom
* crystal system: orthorhombic
* relative energy among the computed polymorphs: 0.00 kJ/mol of atoms
* space-group type: Cmcm (63)